[1]
Here is a relaxed structure of PtAu2Cl from the Alexandria database. Energies are from PBE-GGA.

Calculated values
**Polymorph energy (0 for the lowest one)**: 324 meV/atom
**Energy**: -3.127 eV per atom
**Volume**: 18.2 Å³ per atom
**ΔE_f (raw)**: 0.48 eV/atom

Structure (CIF):
```
data_PtAu2Cl
_cell_length_a 3.924
_cell_length_b 3.924
_cell_length_c 4.729
_cell_angle_alpha 90.00
_cell_angle_beta 90.00
_cell_angle_gamma 90.00
_symmetry_space_group_name_H-M 'P 4/m m m'
_symmetry_Int_Tables_number 123
_symmetry_space_group_name_Hall '-P 4 2'
loop_
_atom_site_label
_atom_site_fract_x
_atom_site_fract_y
_atom_site_fract_z
Pt1 0.000 0.000 0.000
Au1 0.000 0.500 0.500
Cl1 0.500 0.500 0.000
```

[2]
Here is a relaxed structure of Fe2Pb from the Alexandria database. Energies are from PBE-GGA.

Calculated values
**Calculated formation energy**: 0.585 eV per atom
**Energy**: -6.293 eV per atom
**Volume**: 16.9 Å³ per atom

Structure (CIF):
```
data_Fe2Pb
_cell_length_a 4.2498
_cell_length_b 4.2498
_cell_length_c 3.2327
_cell_angle_alpha 90.00
_cell_angle_beta 90.00
_cell_angle_gamma 120.00
_symmetry_space_group_name_H-M 'P 6/m m m'
_symmetry_Int_Tables_number 191
_symmetry_space_group_name_Hall '-P 6 2'
loop_
_atom_site_label
_atom_site_fract_x
_atom_site_fract_y
_atom_site_fract_z
Fe1 0.3333 0.6667 0.0000
Pb1 0.0000 0.0000 0.5000
```

[3]
Here is a relaxed structure of RbNbIr2 from the Alexandria database. Energies are from PBE-GGA.

Calculated values
**Calculated formation energy**: 1.039 eV per atom
**Polymorph energy (0 for the lowest one)**: 202 meV/atom
**Energy**: -6.151 eV per atom
**Volume**: 19.0 Å³ per atom

Structure (CIF):
```
data_RbNbIr2
_cell_length_a 6.725
_cell_length_b 6.725
_cell_length_c 6.725
_cell_angle_alpha 90.00
_cell_angle_beta 90.00
_cell_angle_gamma 90.00
_symmetry_space_group_name_H-M 'F m -3 m'
_symmetry_Int_Tables_number 225
_symmetry_space_group_name_Hall '-F 4 2 3'
loop_
_atom_site_label
_atom_site_fract_x
_atom_site_fract_y
_atom_site_fract_z
Rb1 0.000 0.000 0.000
Nb1 0.000 0.000 0.500
Ir1 0.250 0.250 0.250
```